Below is a PBEsol-optimized structure of Si2PtPb, with properties calculated at the meta-GGA SCAN level.

The structure in POSCAR format:
```
Si2PtPb
1.0
-2.858 2.858 5.898
2.858 -2.858 5.898
2.858 2.858 -5.898
Si Pt Pb
4 2 2
Direct
0.057 0.625 0.932 Si
0.375 0.307 0.432 Si
0.693 0.125 0.068 Si
0.875 0.943 0.568 Si
0.000 0.000 0.000 Pt
0.750 0.250 0.500 Pt
0.250 0.750 0.500 Pb
0.500 0.500 0.000 Pb
```

Results
formation energy without anion corrections: 6 meV/atom



Below is a PBEsol-optimized structure of SrCrIrPd2, with properties calculated at the meta-GGA SCAN level.

The structure in POSCAR format:
```
SrCrIrPd2
1.0
4.717 0.000 0.000
0.000 4.717 0.000
0.000 0.000 4.483
Sr Cr Ir Pd
1 1 1 2
Direct
0.000 0.000 0.000 Sr
0.500 0.500 0.500 Cr
0.500 0.500 0.000 Ir
0.000 0.500 0.500 Pd
0.500 0.000 0.500 Pd
```

Results
formation enthalpy at 0 K: 211 meV per atom



Below is a PBEsol-optimized structure of MnCo2Ru, with properties calculated at the meta-GGA SCAN level.

The structure in POSCAR format:
```
MnCo2Ru
1.0
1.266 0.731 8.095
-1.266 0.731 8.095
0.000 -1.462 8.095
Mn Co Ru
1 2 1
Direct
0.000 0.000 0.000 Mn
0.252 0.252 0.252 Co
0.506 0.506 0.506 Co
0.750 0.750 0.750 Ru
```

Results
formation enthalpy at 0 K: 196 meV per atom
energy above the most stable polymorph in this dataset: 182 meV per atom



Below is a PBEsol-optimized structure of Ba2ZrP, with properties calculated at the meta-GGA SCAN level.

The structure in POSCAR format:
```
Ba2ZrP
1.0
-2.374 2.374 4.841
2.374 -2.374 4.841
2.374 2.374 -4.841
Ba Zr P
2 1 1
Direct
0.000 0.000 0.000 Ba
0.750 0.250 0.500 Ba
0.250 0.750 0.500 Zr
0.500 0.500 0.000 P
```

Results
formation enthalpy at 0 K: 269 meV per atom



These records have electronic total energy values of -166.0; -176.3; -86.9; -119.1 eV/f.u., in the order they appear.
These records have calculated volume values of 24.1; 20.0; 11.2; 27.3 Å³ per atom, in the order they appear.